Record 1
Computed, not measured: KCrInBr6 after structural relaxation at the GGA-PBE level of DFT.

a = 7.1791 Å, b = 7.1791 Å, c = 14.0873 Å
α = 90.00°, β = 90.00°, γ = 120.00°
Element x y z (fractional)
K: 0.0000 0.0000 0.0000
K: 0.0000 0.0000 0.5000
Cr: 0.3333 0.6667 0.2500
Cr: 0.6667 0.3333 0.7500
In: 0.3333 0.6667 0.7500
In: 0.6667 0.3333 0.2500
Br: 0.0421 0.3885 0.1455
Br: 0.0421 0.6536 0.3545
Br: 0.3464 0.3885 0.3545
Br: 0.3464 0.9579 0.1455
Br: 0.3885 0.0421 0.6455
Br: 0.3885 0.3464 0.8545
Br: 0.6115 0.6536 0.1455
Br: 0.6115 0.9579 0.3545
Br: 0.6536 0.0421 0.8545
Br: 0.6536 0.6115 0.6455
Br: 0.9579 0.3464 0.6455
Br: 0.9579 0.6115 0.8545

Output
**SG**: P-31c
**E_form (uncorrected)**: -0.942 eV per atom

***

Record 2
Computed, not measured: LiCrIn2Br6 after structural relaxation at the GGA-PBE level of DFT.

a = 7.3104 Å, b = 7.4796 Å, c = 12.7432 Å
α = 90.00°, β = 124.69°, γ = 90.00°
Element x y z (fractional)
Li: 0.0000 0.0000 0.0000
Li: 0.0000 0.5000 0.5000
Cr: 0.5000 0.0000 0.5000
Cr: 0.5000 0.5000 0.0000
In: 0.2344 0.0643 0.7501
In: 0.2344 0.4357 0.2501
In: 0.7656 0.5643 0.7499
In: 0.7656 0.9357 0.2499
Br: 0.1868 0.1951 0.4668
Br: 0.1868 0.3049 0.9668
Br: 0.2765 0.7209 0.4700
Br: 0.2765 0.7791 0.9700
Br: 0.3284 0.0032 0.2621
Br: 0.3284 0.4968 0.7621
Br: 0.6716 0.5032 0.2379
Br: 0.6716 0.9968 0.7379
Br: 0.7235 0.2209 0.0300
Br: 0.7235 0.2791 0.5300
Br: 0.8132 0.6951 0.0332
Br: 0.8132 0.8049 0.5332

Output
**SG**: P2_1/c
**E_form (uncorrected)**: -0.838 eV per atom

***

Record 3
Computed, not measured: Na3CrIn3Br8 after structural relaxation at the GGA-PBE level of DFT.

a = 8.6312 Å, b = 8.6312 Å, c = 9.1884 Å
α = 118.08°, β = 118.08°, γ = 59.96°
Element x y z (fractional)
Na: 0.0000 0.0000 0.0000
Na: 0.0000 0.5000 0.0000
Na: 0.5000 0.0000 0.0000
Cr: 0.5000 0.5000 0.0000
In: 0.0000 0.5000 0.5000
In: 0.5000 0.0000 0.5000
In: 0.5000 0.5000 0.5000
Br: 0.2387 0.2387 0.2158
Br: 0.2676 0.7154 0.1982
Br: 0.2847 0.2847 0.8018
Br: 0.2846 0.7324 0.8018
Br: 0.7154 0.2676 0.1982
Br: 0.7153 0.7153 0.1982
Br: 0.7324 0.2846 0.8018
Br: 0.7613 0.7613 0.7842

Output
**SG**: C2/m
**E_form (uncorrected)**: -0.983 eV per atom

***

Record 4
Computed, not measured: NaCrIn2Br6 after structural relaxation at the GGA-PBE level of DFT.

a = 7.3046 Å, b = 7.9021 Å, c = 12.8027 Å
α = 90.00°, β = 123.62°, γ = 90.00°
Element x y z (fractional)
Na: 0.0000 0.0000 0.0000
Na: 0.0000 0.5000 0.5000
Cr: 0.5000 0.0000 0.5000
Cr: 0.5000 0.5000 0.0000
In: 0.2199 0.0801 0.7475
In: 0.2199 0.4199 0.2475
In: 0.7801 0.5801 0.7525
In: 0.7801 0.9199 0.2525
Br: 0.1766 0.1731 0.4633
Br: 0.1766 0.3269 0.9633
Br: 0.2816 0.7280 0.4545
Br: 0.2816 0.7720 0.9545
Br: 0.3601 0.0227 0.2699
Br: 0.3601 0.4773 0.7699
Br: 0.6399 0.5227 0.2301
Br: 0.6399 0.9773 0.7301
Br: 0.7184 0.2280 0.0455
Br: 0.7184 0.2720 0.5455
Br: 0.8234 0.6731 0.0367
Br: 0.8234 0.8269 0.5367

Output
**SG**: P2_1/c
**E_form (uncorrected)**: -0.858 eV per atom

***

Record 5
Computed, not measured: NaCr2InBr after structural relaxation at the GGA-PBE level of DFT.

a = 5.2990 Å, b = 5.2990 Å, c = 5.7662 Å
α = 90.00°, β = 90.00°, γ = 90.00°
Element x y z (fractional)
Na: 0.0000 0.0000 0.0000
Cr: 0.0000 0.5000 0.0000
Cr: 0.5000 0.0000 0.0000
In: 0.0000 0.0000 0.5000
Br: 0.5000 0.5000 0.5000

Output
**SG**: P4/mmm
**E_form (uncorrected)**: 1.177 eV per atom

***

Please write out number 2 again, unchanged.
Computed, not measured: LiCrIn2Br6 after structural relaxation at the GGA-PBE level of DFT.

a = 7.3104 Å, b = 7.4796 Å, c = 12.7432 Å
α = 90.00°, β = 124.69°, γ = 90.00°
Element x y z (fractional)
Li: 0.0000 0.0000 0.0000
Li: 0.0000 0.5000 0.5000
Cr: 0.5000 0.0000 0.5000
Cr: 0.5000 0.5000 0.0000
In: 0.2344 0.0643 0.7501
In: 0.2344 0.4357 0.2501
In: 0.7656 0.5643 0.7499
In: 0.7656 0.9357 0.2499
Br: 0.1868 0.1951 0.4668
Br: 0.1868 0.3049 0.9668
Br: 0.2765 0.7209 0.4700
Br: 0.2765 0.7791 0.9700
Br: 0.3284 0.0032 0.2621
Br: 0.3284 0.4968 0.7621
Br: 0.6716 0.5032 0.2379
Br: 0.6716 0.9968 0.7379
Br: 0.7235 0.2209 0.0300
Br: 0.7235 0.2791 0.5300
Br: 0.8132 0.6951 0.0332
Br: 0.8132 0.8049 0.5332

Output
**SG**: P2_1/c
**E_form (uncorrected)**: -0.838 eV per atom